Entry from Alexandria: PrUOs4 after structural relaxation (PBE-GGA).

Results
Calculated total energy, eV/cell: -61.13

a b c (Å): 5.3916 5.3916 5.3916
angles (deg): 60.00 60.00 60.00
Sites, in units of the cell vectors:
Pr 0.0000 0.0000 0.0000
U 0.7500 0.7500 0.7500
Os 0.3753 0.3753 0.3753
Os 0.3753 0.3753 0.8741
Os 0.3753 0.8741 0.3753
Os 0.8741 0.3753 0.3753


Entry from Alexandria: LiPtI after structural relaxation (PBE-GGA).

Results
Calculated total energy, eV/cell: -20.08
Energy relative to the elements, uncorrected, kJ/mol of formula units: -52
Distance to the lowest polymorph of the same formula, eV/atom: 0.4026

a b c (Å): 4.5534 4.5534 7.7013
angles (deg): 90.00 90.00 120.00
Sites, in units of the cell vectors:
Li 0.0000 0.0000 0.0000
Li 0.0000 0.0000 0.5000
Pt 0.3333 0.6667 0.2500
Pt 0.6667 0.3333 0.7500
I 0.3333 0.6667 0.7500
I 0.6667 0.3333 0.2500


Entry from Alexandria: ZrAs2Pb after structural relaxation (PBE-GGA).

Results
Calculated total energy, eV/cell: -22.25

a b c (Å): 5.9385 5.9385 5.9385
angles (deg): 139.29 139.29 58.93
Sites, in units of the cell vectors:
Zr 0.0000 0.0000 0.0000
As 0.2500 0.7500 0.5000
As 0.5000 0.5000 0.0000
Pb 0.7500 0.2500 0.5000


Entry from Alexandria: Li2TeRh2 after structural relaxation (PBE-GGA).

Results
Calculated total energy, eV/cell: -45.86
Energy relative to the elements, uncorrected, kJ/mol of formula units: -121

a b c (Å): 6.5414 6.5414 4.0817
angles (deg): 90.00 90.00 90.00
Sites, in units of the cell vectors:
Li 0.1553 0.3447 0.0000
Li 0.3447 0.8447 0.0000
Li 0.6553 0.1553 0.0000
Li 0.8447 0.6553 0.0000
Te 0.0000 0.0000 0.5000
Te 0.5000 0.5000 0.5000
Rh 0.1440 0.6440 0.5000
Rh 0.3560 0.1440 0.5000
Rh 0.6440 0.8560 0.5000
Rh 0.8560 0.3560 0.5000


Entry from Alexandria: TmZr3Sc after structural relaxation (PBE-GGA).

Results
Calculated total energy, eV/cell: -71.68
Distance to the lowest polymorph of the same formula, eV/atom: 0.0000

a b c (Å): 8.0508 8.0508 6.2861
angles (deg): 90.00 90.00 141.74
Sites, in units of the cell vectors:
Tm 0.0081 0.9919 0.7500
Tm 0.9919 0.0081 0.2500
Zr 0.1959 0.8041 0.5031
Zr 0.1959 0.8041 0.9969
Zr 0.3719 0.6281 0.2500
Zr 0.6281 0.3719 0.7500
Zr 0.8041 0.1959 0.0031
Zr 0.8041 0.1959 0.4969
Sc 0.3827 0.6173 0.7500
Sc 0.6173 0.3827 0.2500


Entry from Alexandria: Ti2Be2As after structural relaxation (PBE-GGA).

Results
Calculated total energy, eV/cell: -59.29
Distance to the lowest polymorph of the same formula, eV/atom: 0.0000

a b c (Å): 5.9341 5.9341 3.6192
angles (deg): 90.00 90.00 90.00
Sites, in units of the cell vectors:
Ti 0.1743 0.3257 0.0000
Ti 0.3257 0.8257 0.0000
Ti 0.6743 0.1743 0.0000
Ti 0.8257 0.6743 0.0000
Be 0.1201 0.6201 0.5000
Be 0.3799 0.1201 0.5000
Be 0.6201 0.8799 0.5000
Be 0.8799 0.3799 0.5000
As 0.0000 0.0000 0.5000
As 0.5000 0.5000 0.5000


Entry from Alexandria: Li2TmPb4 after structural relaxation (PBE-GGA).

Results
Calculated total energy, eV/cell: -24.83

a b c (Å): 6.2774 6.2774 6.2774
angles (deg): 110.09 110.09 108.24
Sites, in units of the cell vectors:
Li 0.0000 0.5000 0.5000
Li 0.5000 0.0000 0.5000
Tm 0.0000 0.0000 0.0000
Pb 0.0000 0.0000 0.5000
Pb 0.0000 0.5000 0.0000
Pb 0.5000 0.0000 0.0000
Pb 0.5000 0.5000 0.5000


Entry from Alexandria: ZrAsP after structural relaxation (PBE-GGA).

Results
Calculated total energy, eV/cell: -39.92
Distance to the lowest polymorph of the same formula, eV/atom: 0.4347

a b c (Å): 6.5639 6.5639 4.9060
angles (deg): 90.00 90.00 133.66
Sites, in units of the cell vectors:
Zr 0.2024 0.7976 0.7500
Zr 0.7976 0.2024 0.2500
As 0.0000 0.0000 0.0000
As 0.0000 0.0000 0.5000
P 0.2904 0.7096 0.2500
P 0.7096 0.2904 0.7500


Entry from Alexandria: NdRuClO4 after structural relaxation (PBE-GGA).

Results
Calculated total energy, eV/cell: -95.08
Energy relative to the elements, uncorrected, kJ/mol of formula units: -1140

a b c (Å): 6.4406 6.4406 7.0437
angles (deg): 102.30 102.30 70.43
Sites, in units of the cell vectors:
Nd 0.2203 0.2203 0.1093
Nd 0.7797 0.7797 0.8907
Ru 0.3631 0.3631 0.7236
Ru 0.6369 0.6369 0.2764
Cl 0.0122 0.0122 0.7655
Cl 0.9878 0.9878 0.2345
O 0.1276 0.4825 0.8618
O 0.2824 0.2824 0.4716
O 0.4645 0.4645 0.2315
O 0.4825 0.1276 0.8618
O 0.5175 0.8724 0.1382
O 0.5355 0.5355 0.7685
O 0.7176 0.7176 0.5284
O 0.8724 0.5175 0.1382


Entry from Alexandria: TmHfTcNi after structural relaxation (PBE-GGA).

Results
Calculated total energy, eV/cell: -31.98

a b c (Å): 4.6445 4.6445 4.6445
angles (deg): 60.00 60.00 60.00
Sites, in units of the cell vectors:
Tm 0.0000 0.0000 0.0000
Hf 0.5000 0.5000 0.5000
Tc 0.2500 0.2500 0.2500
Ni 0.7500 0.7500 0.7500


Entry from Alexandria: FeOs2Rh after structural relaxation (PBE-GGA).

Results
Calculated total energy, eV/cell: -37.79
Distance to the lowest polymorph of the same formula, eV/atom: 0.0435

a b c (Å): 4.6307 4.6307 4.6611
angles (deg): 100.22 100.22 33.84
Sites, in units of the cell vectors:
Fe 0.0000 0.0000 0.0000
Os 0.2536 0.2536 0.7593
Os 0.7464 0.7464 0.2407
Rh 0.5000 0.5000 0.5000


Entry from Alexandria: TeRhN after structural relaxation (PBE-GGA).

Results
Calculated total energy, eV/cell: -38.41
Energy relative to the elements, uncorrected, kJ/mol of formula units: -37

a b c (Å): 3.8058 3.8400 11.8420
angles (deg): 95.00 96.94 102.45
Sites, in units of the cell vectors:
Te 0.0000 0.0000 0.0000
Te 0.3813 0.8504 0.2891
Rh 0.4404 0.6206 0.0764
Rh 0.9409 0.2299 0.2128
N 0.7377 0.5661 0.6653
N 0.8816 0.7171 0.6018


Entry from Alexandria: HIrRh after structural relaxation (PBE-GGA).

Results
Calculated total energy, eV/cell: -38.12

a b c (Å): 5.2145 5.2145 4.6595
angles (deg): 90.00 90.00 30.54
Sites, in units of the cell vectors:
H 0.0770 0.0770 0.2516
H 0.9230 0.9230 0.7484
Ir 0.2914 0.2914 0.7504
Ir 0.7086 0.7086 0.2496
Rh 0.4360 0.4360 0.2500
Rh 0.5640 0.5640 0.7500


Entry from Alexandria: K2TaTl after structural relaxation (PBE-GGA).

Results
Calculated total energy, eV/cell: -12.31
Distance to the lowest polymorph of the same formula, eV/atom: 0.2656

a b c (Å): 4.3088 4.3088 6.0943
angles (deg): 90.00 90.00 90.00
Sites, in units of the cell vectors:
K 0.0000 0.5000 0.0000
K 0.5000 0.0000 0.0000
Ta 0.0000 0.0000 0.5000
Tl 0.5000 0.5000 0.5000


Entry from Alexandria: Sr2PuAgO6 after structural relaxation (PBE-GGA).

Results
Calculated total energy, eV/cell: -73.46
Energy relative to the elements, uncorrected, kJ/mol of formula units: -2235

a b c (Å): 6.0583 6.0583 6.0140
angles (deg): 118.66 118.66 58.33
Sites, in units of the cell vectors:
Sr 0.2497 0.2497 0.2251
Sr 0.7503 0.7503 0.7749
Pu 0.5000 0.5000 0.0000
Ag 0.0000 0.0000 0.5000
O 0.1935 0.6705 0.1584
O 0.2907 0.2907 0.6735
O 0.3295 0.8065 0.8416
O 0.6705 0.1935 0.1584
O 0.7093 0.7093 0.3265
O 0.8065 0.3295 0.8416


Entry from Alexandria: Hf2AlCoH after structural relaxation (PBE-GGA).

Results
Calculated total energy, eV/cell: -35.63

a b c (Å): 4.3816 4.3816 3.6776
angles (deg): 90.00 90.00 90.00
Sites, in units of the cell vectors:
Hf 0.0000 0.5000 0.0000
Hf 0.5000 0.0000 0.0000
Al 0.0000 0.0000 0.5000
Co 0.5000 0.5000 0.5000
H 0.5000 0.5000 0.0000


Entry from Alexandria: BaV2Re after structural relaxation (PBE-GGA).

Results
Calculated total energy, eV/cell: -55.97

a b c (Å): 8.9094 8.9094 8.9094
angles (deg): 145.53 145.53 49.54
Sites, in units of the cell vectors:
Ba 0.3750 0.6250 0.7500
Ba 0.6250 0.3750 0.2500
V 0.0000 0.0000 0.0000
V 0.0000 0.0000 0.5000
V 0.0000 0.5000 0.0000
V 0.5000 0.0000 0.5000
Re 0.1250 0.8750 0.2500
Re 0.8750 0.1250 0.7500


Entry from Alexandria: Cu2MoIr after structural relaxation (PBE-GGA).

Results
Calculated total energy, eV/cell: -26.79
Distance to the lowest polymorph of the same formula, eV/atom: 0.2405

a b c (Å): 2.6144 2.6144 8.8563
angles (deg): 90.00 90.00 112.48
Sites, in units of the cell vectors:
Cu 0.0000 0.0000 0.2476
Cu 0.0000 0.0000 0.7524
Mo 0.5000 0.5000 0.5000
Ir 0.5000 0.5000 0.0000


Entry from Alexandria: CaDyI2 after structural relaxation (PBE-GGA).

Results
Calculated total energy, eV/cell: -12.88
Energy relative to the elements, uncorrected, kJ/mol of formula units: -306

a b c (Å): 11.1832 11.1832 11.1832
angles (deg): 20.47 20.47 20.47
Sites, in units of the cell vectors:
Ca 0.0000 0.0000 0.0000
Dy 0.5000 0.5000 0.5000
I 0.1021 0.1021 0.1021
I 0.8979 0.8979 0.8979


Entry from Alexandria: PuMgMnFe after structural relaxation (PBE-GGA).

Results
Calculated total energy, eV/cell: -32.98

a b c (Å): 4.5042 4.5042 4.5042
angles (deg): 60.00 60.00 60.00
Sites, in units of the cell vectors:
Pu 0.0000 0.0000 0.0000
Mg 0.5000 0.5000 0.5000
Mn 0.2500 0.2500 0.2500
Fe 0.7500 0.7500 0.7500


Number 1: total magnetization 1.51 μB/cell. Number 2: total magnetization 0.00 μB/cell. Number 3: total magnetization 0.00 μB/cell. Number 4: total magnetization 0.00 μB/cell. Number 5: total magnetization 0.00 μB/cell. Number 6: total magnetization 0.00 μB/cell. Number 7: total magnetization 0.00 μB/cell. Number 8: total magnetization 0.00 μB/cell. Number 9: total magnetization 4.04 μB/cell. Number 10: total magnetization 0.00 μB/cell. Number 11: total magnetization 1.83 μB/cell. Number 12: total magnetization 0.00 μB/cell. Number 13: total magnetization 0.00 μB/cell. Number 14: total magnetization 0.00 μB/cell. Number 15: total magnetization 1.03 μB/cell. Number 16: total magnetization 1.15 μB/cell. Number 17: total magnetization 7.53 μB/cell. Number 18: total magnetization 0.00 μB/cell. Number 19: total magnetization 0.00 μB/cell. Number 20: total magnetization 1.38 μB/cell.